Entry i
First-principles (PBE-GGA) data for an optimized crystal structure of CsBe3Ga, as listed in the Alexandria database.

```
data_CsBe3Ga
_chemical_formula_sum 'Cs1 Be3 Ga1'
_cell_length_a 5.960
_cell_length_b 5.960
_cell_length_c 5.960
_cell_angle_alpha 90.00
_cell_angle_beta 90.00
_cell_angle_gamma 90.00
_space_group_name_H-M_alt 'P m -3 m'
_space_group_IT_number 221
_space_group_name_Hall '-P 4 2 3'
loop_
_atom_site_label
_atom_site_type_symbol
_atom_site_fract_x
_atom_site_fract_y
_atom_site_fract_z
_atom_site_occupancy
Cs1 Cs 0.000 0.000 0.000 1
Be1 Be 0.000 0.000 0.500 1
Ga1 Ga 0.500 0.500 0.500 1
```

=====

Entry ii
First-principles (PBE-GGA) data for an optimized crystal structure of CsBe3Ga, as listed in the Alexandria database.

```
data_CsBe3Ga
_chemical_formula_sum 'Cs1 Be3 Ga1'
_cell_length_a 4.652
_cell_length_b 4.652
_cell_length_c 4.652
_cell_angle_alpha 90.00
_cell_angle_beta 90.00
_cell_angle_gamma 90.00
_space_group_name_H-M_alt 'P m -3 m'
_space_group_IT_number 221
_space_group_name_Hall '-P 4 2 3'
loop_
_atom_site_label
_atom_site_type_symbol
_atom_site_fract_x
_atom_site_fract_y
_atom_site_fract_z
_atom_site_occupancy
Cs1 Cs 0.000 0.000 0.000 1
Be1 Be 0.000 0.500 0.500 1
Ga1 Ga 0.500 0.500 0.500 1
```

=====

Which structure is the least stable? The one labeled entry i.